1.
# MnHgS2 (SCAN, PBEsol geometry)
# Raw formation energy in eV/atom: -0.62
# Total moment in μB per formula unit: 5.000
# Crystal system: trigonal
data_MnHgS2
_cell_length_a 4.042
_cell_length_b 4.042
_cell_length_c 19.563
_cell_angle_alpha 90.00
_cell_angle_beta 90.00
_cell_angle_gamma 120.00
_space_group_name_H-M_alt 'P 1'
_space_group_IT_number 1
loop_
_space_group_symop_operation_xyz
'x,y,z'
loop_
_atom_site_label
_atom_site_type_symbol
_atom_site_fract_x
_atom_site_fract_y
_atom_site_fract_z
_atom_site_occupancy
Mn1 Mn 0.000 0.000 0.000 1
Mn2 Mn 0.333 0.667 0.667 1
Mn3 Mn 0.667 0.333 0.333 1
Hg1 Hg 0.000 0.000 0.504 1
Hg2 Hg 0.333 0.667 0.171 1
Hg3 Hg 0.667 0.333 0.838 1
S1 S 0.000 0.000 0.120 1
S2 S 0.000 0.000 0.633 1
S3 S 0.333 0.667 0.300 1
S4 S 0.333 0.667 0.787 1
S5 S 0.667 0.333 0.454 1
S6 S 0.667 0.333 0.967 1


2.
# Cu2TcPt (SCAN, PBEsol geometry)
# Total moment in μB per formula unit: 0.971
# Crystal system: cubic
# Energy relative to the elements in meV per atom: 150
data_Cu2TcPt
_cell_length_a 5.962
_cell_length_b 5.962
_cell_length_c 5.962
_cell_angle_alpha 90.00
_cell_angle_beta 90.00
_cell_angle_gamma 90.00
_space_group_name_H-M_alt 'P 1'
_space_group_IT_number 1
loop_
_space_group_symop_operation_xyz
'x,y,z'
loop_
_atom_site_label
_atom_site_type_symbol
_atom_site_fract_x
_atom_site_fract_y
_atom_site_fract_z
_atom_site_occupancy
Cu1 Cu 0.000 0.000 0.000 1
Cu2 Cu 0.000 0.500 0.500 1
Cu3 Cu 0.250 0.250 0.250 1
Cu4 Cu 0.250 0.750 0.750 1
Cu5 Cu 0.500 0.000 0.500 1
Cu6 Cu 0.500 0.500 0.000 1
Cu7 Cu 0.750 0.250 0.750 1
Cu8 Cu 0.750 0.750 0.250 1
Tc1 Tc 0.250 0.250 0.750 1
Tc2 Tc 0.250 0.750 0.250 1
Tc3 Tc 0.750 0.250 0.250 1
Tc4 Tc 0.750 0.750 0.750 1
Pt1 Pt 0.000 0.000 0.500 1
Pt2 Pt 0.000 0.500 0.000 1
Pt3 Pt 0.500 0.000 0.000 1
Pt4 Pt 0.500 0.500 0.500 1


3.
# LiMnZn2Ir (SCAN, PBEsol geometry)
# Total moment in μB per formula unit: 1.741
# Crystal system: tetragonal
# Energy relative to the elements in meV per atom: 558
data_LiMnZn2Ir
_cell_length_a 4.607
_cell_length_b 4.607
_cell_length_c 4.345
_cell_angle_alpha 90.00
_cell_angle_beta 90.00
_cell_angle_gamma 90.00
_space_group_name_H-M_alt 'P 1'
_space_group_IT_number 1
loop_
_space_group_symop_operation_xyz
'x,y,z'
loop_
_atom_site_label
_atom_site_type_symbol
_atom_site_fract_x
_atom_site_fract_y
_atom_site_fract_z
_atom_site_occupancy
Li1 Li 0.000 0.000 0.000 1
Mn1 Mn 0.500 0.500 0.500 1
Zn1 Zn 0.000 0.500 0.500 1
Zn2 Zn 0.500 0.000 0.500 1
Ir1 Ir 0.500 0.500 0.000 1


4.
# AgHgIr2 (SCAN, PBEsol geometry)
# Total moment in μB per formula unit: 1.752
# Crystal system: tetragonal
# Energy relative to the elements in meV per atom: 743
data_AgHgIr2
_cell_length_a 2.811
_cell_length_b 2.811
_cell_length_c 8.067
_cell_angle_alpha 90.00
_cell_angle_beta 90.00
_cell_angle_gamma 90.00
_space_group_name_H-M_alt 'P 1'
_space_group_IT_number 1
loop_
_space_group_symop_operation_xyz
'x,y,z'
loop_
_atom_site_label
_atom_site_type_symbol
_atom_site_fract_x
_atom_site_fract_y
_atom_site_fract_z
_atom_site_occupancy
Ag1 Ag 0.000 0.000 0.000 1
Hg1 Hg 0.000 0.000 0.500 1
Ir1 Ir 0.500 0.500 0.242 1
Ir2 Ir 0.500 0.500 0.758 1


5.
# SrSc2Be (SCAN, PBEsol geometry)
# Total moment in μB per formula unit: 0.783
# Crystal system: trigonal
# Energy relative to the elements in meV per atom: 472
data_SrSc2Be
_cell_length_a 3.412
_cell_length_b 3.412
_cell_length_c 29.617
_cell_angle_alpha 90.00
_cell_angle_beta 90.00
_cell_angle_gamma 120.00
_space_group_name_H-M_alt 'P 1'
_space_group_IT_number 1
loop_
_space_group_symop_operation_xyz
'x,y,z'
loop_
_atom_site_label
_atom_site_type_symbol
_atom_site_fract_x
_atom_site_fract_y
_atom_site_fract_z
_atom_site_occupancy
Sr1 Sr 0.000 0.000 0.000 1
Sr2 Sr 0.333 0.667 0.667 1
Sr3 Sr 0.667 0.333 0.333 1
Sc1 Sc 0.000 0.000 0.526 1
Sc2 Sc 0.000 0.000 0.772 1
Sc3 Sc 0.333 0.667 0.192 1
Sc4 Sc 0.333 0.667 0.439 1
Sc5 Sc 0.667 0.333 0.106 1
Sc6 Sc 0.667 0.333 0.859 1
Be1 Be 0.000 0.000 0.254 1
Be2 Be 0.333 0.667 0.921 1
Be3 Be 0.667 0.333 0.587 1


6.
# Zr3Au (SCAN, PBEsol geometry)
# Total moment in μB per formula unit: 0.000
# Crystal system: cubic
# Energy relative to the elements in meV per atom: -522
data_Zr3Au
_cell_length_a 5.442
_cell_length_b 5.442
_cell_length_c 5.442
_cell_angle_alpha 90.00
_cell_angle_beta 90.00
_cell_angle_gamma 90.00
_space_group_name_H-M_alt 'P 1'
_space_group_IT_number 1
loop_
_space_group_symop_operation_xyz
'x,y,z'
loop_
_atom_site_label
_atom_site_type_symbol
_atom_site_fract_x
_atom_site_fract_y
_atom_site_fract_z
_atom_site_occupancy
Zr1 Zr 0.000 0.250 0.500 1
Zr2 Zr 0.000 0.750 0.500 1
Zr3 Zr 0.250 0.500 0.000 1
Zr4 Zr 0.500 0.000 0.250 1
Zr5 Zr 0.500 0.000 0.750 1
Zr6 Zr 0.750 0.500 0.000 1
Au1 Au 0.000 0.000 0.000 1
Au2 Au 0.500 0.500 0.500 1


> Number 4 is which compound?

AgHgIr2


> Among the records above, which one has the lowest total moment?

Zr3Au


Please write out number 3 again, unchanged.
# LiMnZn2Ir (SCAN, PBEsol geometry)
# Total moment in μB per formula unit: 1.741
# Crystal system: tetragonal
# Energy relative to the elements in meV per atom: 558
data_LiMnZn2Ir
_cell_length_a 4.607
_cell_length_b 4.607
_cell_length_c 4.345
_cell_angle_alpha 90.00
_cell_angle_beta 90.00
_cell_angle_gamma 90.00
_space_group_name_H-M_alt 'P 1'
_space_group_IT_number 1
loop_
_space_group_symop_operation_xyz
'x,y,z'
loop_
_atom_site_label
_atom_site_type_symbol
_atom_site_fract_x
_atom_site_fract_y
_atom_site_fract_z
_atom_site_occupancy
Li1 Li 0.000 0.000 0.000 1
Mn1 Mn 0.500 0.500 0.500 1
Zn1 Zn 0.000 0.500 0.500 1
Zn2 Zn 0.500 0.000 0.500 1
Ir1 Ir 0.500 0.500 0.000 1